Entry 1:
TaSi2Tc: relaxed, GGA-PBE.

Unit cell a=3.149 b=3.149 c=5.803 alpha=90.00 beta=90.00 gamma=90.00
Element x y z (fractional)
Si  0.000  0.000  0.991
Si  0.500  0.500  0.233
Tc  0.500  0.500  0.794
Ta  0.000  0.000  0.482

Properties
Its offset from the most stable computed form is 0 meV/atom. As for the energy relative to the elements, uncorrected: -0.492 eV/atom.

---

Entry 2:
Mn4ZnP: relaxed, GGA-PBE.

Unit cell a=4.724 b=4.724 c=4.724 alpha=60.00 beta=60.00 gamma=60.00
Each line ends with the local moment (μB).
Element x y z (fractional)
Mn  0.625  0.625  0.125  1.28
Mn  0.625  0.125  0.625  1.28
Mn  0.625  0.625  0.625  1.28
Mn  0.125  0.625  0.625  1.28
Zn  0.000  0.000  0.000  -0.04
P  0.250  0.250  0.250  -0.02

Properties
The value obtained for the energy of formation is 0.379 eV per atom.

---

Entry 3:
SrZn5P4: relaxed, GGA-PBE.

Unit cell a=4.004 b=7.266 c=7.949 alpha=117.20 beta=104.59 gamma=90.00
Element x y z (fractional)
Sr  0.500  0.000  0.000
Zn  0.827  0.033  0.655
Zn  0.827  0.622  0.655
Zn  0.173  0.378  0.345
Zn  0.173  0.967  0.345
Zn  0.500  0.500  0.000
P  0.000  0.707  0.000
P  0.270  0.770  0.540
P  0.730  0.230  0.460
P  0.000  0.293  0.000

Properties
The value obtained for the energy of formation is -0.236 eV per atom.

---

Entry 4:
CaNb2W: relaxed, GGA-PBE.

Unit cell a=7.650 b=7.650 c=6.182 alpha=51.78 beta=51.78 gamma=90.00
Element x y z (fractional)
Nb  0.669  0.125  0.250
Nb  0.081  0.625  0.250
Nb  0.375  0.331  0.750
Nb  0.875  0.919  0.750
Ca  0.500  0.500  0.000
Ca  0.250  0.750  0.500
W  0.000  0.000  0.000
W  0.750  0.250  0.500

Properties
The value obtained for the energy of formation is 1.005 eV per atom. Its offset from the most stable computed form is 396 meV/atom.

---

Entry 5:
USnP2: relaxed, GGA-PBE.

Unit cell a=3.702 b=3.702 c=8.758 alpha=77.80 beta=77.80 gamma=60.00
Each line ends with the local moment (μB).
Element x y z (fractional)
P  0.104  0.104  0.687  -0.04
P  0.896  0.896  0.313  -0.04
U  0.000  0.000  0.000  2.43
Sn  0.500  0.500  0.500  0.01

Properties
The value obtained for the energy of formation is 0.507 eV per atom. Its offset from the most stable computed form is 918 meV/atom.

---

Entry 6:
VMo4W4: relaxed, GGA-PBE.

Unit cell a=5.715 b=5.715 c=9.843 alpha=90.00 beta=90.00 gamma=90.00
Element x y z (fractional)
V  0.000  0.000  0.000
V  0.500  0.500  0.500
Mo  0.500  0.744  0.762
Mo  0.500  0.256  0.762
Mo  0.744  0.500  0.238
Mo  0.256  0.500  0.238
Mo  0.244  0.000  0.262
Mo  0.756  0.000  0.262
Mo  0.000  0.244  0.738
Mo  0.000  0.756  0.738
W  0.231  0.500  0.930
W  0.769  0.500  0.930
W  0.500  0.769  0.070
W  0.500  0.231  0.070
W  0.000  0.731  0.430
W  0.000  0.269  0.430
W  0.269  0.000  0.570
W  0.731  0.000  0.570

Properties
The value obtained for the energy of formation is 0.825 eV per atom. Its offset from the most stable computed form is 889 meV/atom.

---

Entry 7:
LaCeZnIr: relaxed, GGA-PBE.

Unit cell a=5.100 b=5.100 c=5.100 alpha=60.00 beta=60.00 gamma=60.00
Each line ends with the local moment (μB).
Element x y z (fractional)
Zn  0.500  0.500  0.500  0.00
Ir  0.000  0.000  0.000  -0.04
Ce  0.250  0.250  0.250  0.54
La  0.750  0.750  0.750  0.02

Properties
The value obtained for the energy of formation is -0.441 eV per atom.

---

Entry 8:
CdHg: relaxed, GGA-PBE.

Unit cell a=10.526 b=8.946 c=6.285 alpha=90.00 beta=90.00 gamma=90.00
Element x y z (fractional)
Cd  0.163  0.960  0.250
Cd  0.837  0.040  0.750
Cd  0.837  0.460  0.250
Cd  0.163  0.540  0.750
Cd  0.497  0.496  0.250
Cd  0.503  0.504  0.750
Cd  0.503  0.996  0.250
Cd  0.497  0.004  0.750
Cd  0.029  0.250  0.000
Cd  0.971  0.750  0.500
Cd  0.971  0.750  0.000
Cd  0.029  0.250  0.500
Hg  0.148  0.531  0.250
Hg  0.852  0.469  0.750
Hg  0.852  0.031  0.250
Hg  0.148  0.969  0.750
Hg  0.311  0.244  0.250
Hg  0.689  0.756  0.750
Hg  0.689  0.744  0.250
Hg  0.311  0.256  0.750
Hg  0.647  0.250  0.000
Hg  0.353  0.750  0.500
Hg  0.353  0.750  0.000
Hg  0.647  0.250  0.500

Properties
The value obtained for the energy of formation is 0.028 eV per atom.

---

Entry 9:
LaSm2PuBi4: relaxed, GGA-PBE.

Unit cell a=4.597 b=7.958 c=7.953 alpha=70.54 beta=90.00 gamma=90.00
Each line ends with the local moment (μB).
Element x y z (fractional)
La  0.000  0.500  0.500  -0.01
Sm  0.000  0.000  0.000  0.00
Sm  0.500  0.000  0.500  -0.03
Pu  0.500  0.500  0.000  5.30
Bi  0.000  0.751  0.754  -0.09
Bi  0.000  0.249  0.246  -0.09
Bi  0.500  0.754  0.244  -0.05
Bi  0.500  0.246  0.756  -0.05

Properties
The value obtained for the energy of formation is -0.798 eV per atom.

---

Entry 10:
Y2CoAg2: relaxed, GGA-PBE.

Unit cell a=7.247 b=7.247 c=4.249 alpha=90.00 beta=90.00 gamma=90.00
Each line ends with the local moment (μB).
Element x y z (fractional)
Y  0.177  0.677  0.500  -0.11
Y  0.677  0.823  0.500  -0.11
Y  0.823  0.323  0.500  -0.11
Y  0.323  0.177  0.500  -0.11
Co  0.000  0.000  0.000  1.47
Co  0.500  0.500  0.000  1.50
Ag  0.367  0.867  0.000  -0.01
Ag  0.867  0.633  0.000  -0.01
Ag  0.633  0.133  0.000  -0.01
Ag  0.133  0.367  0.000  -0.01

Properties
The value obtained for the energy of formation is 0.050 eV per atom. Its offset from the most stable computed form is 0 meV/atom.

---

Entry 11:
Pm8Pr2Sn: relaxed, GGA-PBE.

Unit cell a=5.026 b=8.121 c=9.599 alpha=104.53 beta=105.18 gamma=90.00
Element x y z (fractional)
Pm  0.412  0.564  0.824
Pm  0.677  0.908  0.353
Pm  0.865  0.825  0.730
Pm  0.957  0.268  0.915
Pm  0.135  0.175  0.270
Pm  0.323  0.092  0.647
Pm  0.588  0.436  0.176
Pm  0.043  0.732  0.085
Pr  0.777  0.365  0.554
Pr  0.223  0.635  0.446
Sn  0.500  0.000  0.000

Properties
The value obtained for the energy of formation is -0.113 eV per atom.

---

Entry 12:
Dy7YTm4: relaxed, GGA-PBE.

Unit cell a=3.528 b=3.528 c=34.480 alpha=90.00 beta=90.00 gamma=120.00
Element x y z (fractional)
Dy  0.000  0.000  0.000
Dy  0.667  0.333  0.585
Dy  0.333  0.667  0.415
Dy  0.667  0.333  0.834
Dy  0.333  0.667  0.166
Dy  0.000  0.000  0.250
Dy  0.000  0.000  0.750
Y  0.000  0.000  0.500
Tm  0.667  0.333  0.083
Tm  0.333  0.667  0.917
Tm  0.667  0.333  0.333
Tm  0.333  0.667  0.667

Properties
The value obtained for the energy of formation is 0.023 eV per atom. Its offset from the most stable computed form is 24 meV/atom.

---

Entry 13:
SrMg7In12: relaxed, GGA-PBE.

Unit cell a=9.328 b=9.328 c=9.328 alpha=109.47 beta=109.47 gamma=109.47
Element x y z (fractional)
Sr  0.000  0.000  0.000
Mg  0.500  0.000  0.500
Mg  0.500  0.500  0.000
Mg  0.000  0.500  0.500
Mg  0.000  0.000  0.500
Mg  0.500  0.000  0.000
Mg  0.500  0.500  0.500
Mg  0.000  0.500  0.000
In  0.353  0.248  0.601
In  0.353  0.752  0.105
In  0.647  0.752  0.399
In  0.647  0.248  0.895
In  0.601  0.353  0.248
In  0.895  0.647  0.248
In  0.399  0.647  0.752
In  0.105  0.353  0.752
In  0.752  0.105  0.353
In  0.248  0.895  0.647
In  0.248  0.601  0.353
In  0.752  0.399  0.647

Properties
The value obtained for the energy of formation is 0.109 eV per atom.

---

Entry 14:
NaMnTl2Br6: relaxed, GGA-PBE.

Unit cell a=7.867 b=7.783 c=7.684 alpha=60.38 beta=55.08 gamma=59.90
Each line ends with the local moment (μB).
Element x y z (fractional)
Na  0.816  0.816  0.551  0.00
Mn  0.316  0.316  0.051  3.71
Tl  0.565  0.530  0.305  0.01
Tl  0.068  0.102  0.798  0.01
Br  0.562  0.118  0.300  0.04
Br  0.177  0.017  0.243  -0.02
Br  0.005  0.488  0.336  -0.02
Br  0.456  0.615  0.860  -0.02
Br  0.627  0.145  0.767  -0.02
Br  0.071  0.514  0.803  0.04

Properties
As for the energy relative to the elements, uncorrected: -0.898 eV/atom.

---

Entry 15:
AcBe2F8: relaxed, GGA-PBE.

Unit cell a=6.341 b=5.697 c=5.697 alpha=48.16 beta=68.10 gamma=68.10
Each line ends with the local moment (μB).
Element x y z (fractional)
Ac  0.000  0.000  0.000  0.00
Be  0.676  0.792  0.792  0.00
Be  0.324  0.208  0.208  0.00
F  0.231  0.376  0.894  0.23
F  0.769  0.106  0.624  0.23
F  0.416  0.836  0.836  0.00
F  0.584  0.164  0.164  0.00
F  0.231  0.894  0.376  0.23
F  0.769  0.624  0.106  0.23
F  0.827  0.630  0.630  0.00
F  0.173  0.370  0.370  0.00

Properties
As for the energy relative to the elements, uncorrected: -3.216 eV/atom.

---

Entry 16:
Nd4As3Br: relaxed, GGA-PBE.

Unit cell a=4.264 b=7.428 c=7.428 alpha=70.82 beta=90.00 gamma=90.00
Element x y z (fractional)
As  0.500  0.000  0.500
As  0.000  0.000  0.000
As  0.000  0.500  0.500
Nd  0.000  0.770  0.730
Nd  0.500  0.759  0.259
Nd  0.000  0.230  0.270
Nd  0.500  0.241  0.741
Br  0.500  0.500  0.000

Properties
As for the energy relative to the elements, uncorrected: -1.500 eV/atom.

---

Entry 17:
Pm3RhBr2: relaxed, GGA-PBE.

Unit cell a=3.982 b=6.015 c=8.055 alpha=111.92 beta=104.31 gamma=90.00
Each line ends with the local moment (μB).
Element x y z (fractional)
Pm  0.629  0.629  0.257  0.01
Pm  0.000  0.000  0.000  0.14
Pm  0.371  0.371  0.743  0.01
Rh  0.000  0.500  0.000  0.01
Br  0.317  0.817  0.635  0.00
Br  0.683  0.183  0.365  0.00

Properties
As for the energy relative to the elements, uncorrected: -1.067 eV/atom.

---

Entry 18:
NbCo: relaxed, GGA-PBE.

Unit cell a=7.521 b=7.521 c=7.521 alpha=90.00 beta=90.00 gamma=90.00
Element x y z (fractional)
Nb  0.356  0.356  0.356
Nb  0.356  0.644  0.644
Nb  0.644  0.356  0.644
Nb  0.644  0.644  0.356
Nb  0.856  0.856  0.856
Nb  0.856  0.144  0.144
Nb  0.144  0.856  0.144
Nb  0.144  0.144  0.856
Co  0.168  0.168  0.168
Co  0.168  0.832  0.832
Co  0.832  0.168  0.832
Co  0.832  0.832  0.168
Co  0.668  0.668  0.668
Co  0.668  0.332  0.332
Co  0.332  0.668  0.332
Co  0.332  0.332  0.668

Properties
The value obtained for the energy of formation is 1.368 eV per atom.

---

Entry 19:
RePPt2: relaxed, GGA-PBE.

Unit cell a=4.952 b=4.952 c=4.952 alpha=135.12 beta=135.12 gamma=65.34
Element x y z (fractional)
Re  0.500  0.500  0.000
P  0.000  0.000  0.000
Pt  0.750  0.250  0.500
Pt  0.250  0.750  0.500

Properties
The value obtained for the energy of formation is 0.316 eV per atom. Its offset from the most stable computed form is 404 meV/atom.

---

Entry 20:
CeLuCuRh: relaxed, GGA-PBE.

Unit cell a=4.879 b=4.879 c=4.879 alpha=60.00 beta=60.00 gamma=60.00
Each line ends with the local moment (μB).
Element x y z (fractional)
Lu  0.000  0.000  0.000  -0.01
Rh  0.750  0.750  0.750  0.03
Cu  0.250  0.250  0.250  0.00
Ce  0.500  0.500  0.500  -0.31

Properties
The value obtained for the energy of formation is -0.493 eV per atom.

---

| no. | spin magnetization (μB/cell) | mass density (g/cm3) |
| --- | --- | --- |
| 1 | 0.00 | 9.67 |
| 2 | 5.17 | 7.04 |
| 3 | 0.00 | 4.53 |
| 4 | 0.00 | 7.77 |
| 5 | 2.68 | 6.90 |
| 6 | 0.00 | 12.08 |
| 7 | 0.61 | 9.50 |
| 8 | 0.00 | 10.54 |
| 9 | 5.10 | 9.20 |
| 10 | 1.89 | 6.73 |
| 11 | 0.00 | 7.10 |
| 12 | 0.00 | 8.50 |
| 13 | 0.00 | 4.35 |
| 14 | 4.00 | 5.03 |
| 15 | 1.01 | 4.71 |
| 16 | 0.00 | 6.59 |
| 17 | 0.38 | 6.72 |
| 18 | 0.00 | 4.74 |
| 19 | 0.00 | 16.93 |
| 20 | 0.32 | 9.73 |